{
  "formula": "Ba10MgMn3V8Cl12O28",
  "functional": "GGA+U",
  "state": "optimized geometry",
  "final_energy_ev_per_fu": -399.004,
  "vol_a3_per_atom": 18.54,
  "lattice": [[5.825, 0.000, 0.000], [0.000, 13.499, -0.008], [0.000, -6.405, 14.624]],
  "species": ["Ba", "Ba", "Ba", "Ba", "Ba", "Ba", "Ba", "Ba", "Ba", "Ba", "Mg", "Mn", "Mn", "Mn", "V", "V", "V", "V", "V", "V", "V", "V", "Cl", "Cl", "Cl", "Cl", "Cl", "Cl", "Cl", "Cl", "Cl", "Cl", "Cl", "Cl", "O", "O", "O", "O", "O", "O", "O", "O", "O", "O", "O", "O", "O", "O", "O", "O", "O", "O", "O", "O", "O", "O", "O", "O", "O", "O", "O", "O"],
  "fractional_positions": [[0.253, 0.738, 0.045], [0.253, 0.262, 0.955], [0.747, 0.262, 0.455], [0.747, 0.738, 0.545], [0.749, 0.731, 0.272], [0.749, 0.269, 0.728], [0.251, 0.269, 0.228], [0.251, 0.731, 0.772], [0.754, 0.000, 0.000], [0.247, 0.000, 0.500], [0.750, 0.500, 0.000], [0.000, 0.000, 0.750], [0.000, 0.000, 0.250], [0.251, 0.500, 0.500], [0.750, 0.452, 0.346], [0.750, 0.548, 0.654], [0.250, 0.548, 0.153], [0.250, 0.452, 0.847], [0.749, 0.294, 0.099], [0.749, 0.706, 0.901], [0.251, 0.705, 0.400], [0.251, 0.295, 0.600], [0.761, 0.855, 0.763], [0.761, 0.145, 0.237], [0.240, 0.145, 0.736], [0.240, 0.855, 0.264], [0.775, 0.002, 0.616], [0.775, 0.998, 0.384], [0.226, 0.997, 0.884], [0.226, 0.003, 0.116], [0.760, 0.142, 0.860], [0.760, 0.858, 0.140], [0.240, 0.857, 0.639], [0.240, 0.143, 0.361], [0.518, 0.207, 0.071], [0.518, 0.793, 0.929], [0.482, 0.792, 0.428], [0.482, 0.208, 0.572], [0.510, 0.416, 0.393], [0.510, 0.584, 0.607], [0.490, 0.584, 0.107], [0.490, 0.416, 0.893], [0.747, 0.375, 0.223], [0.747, 0.625, 0.777], [0.253, 0.625, 0.277], [0.253, 0.375, 0.723], [0.991, 0.417, 0.393], [0.991, 0.583, 0.607], [0.009, 0.583, 0.107], [0.009, 0.417, 0.893], [0.748, 0.585, 0.368], [0.748, 0.415, 0.632], [0.251, 0.415, 0.132], [0.251, 0.585, 0.868], [0.746, 0.369, 0.034], [0.746, 0.631, 0.966], [0.254, 0.630, 0.465], [0.254, 0.370, 0.535], [0.985, 0.211, 0.072], [0.985, 0.789, 0.928], [0.014, 0.788, 0.427], [0.014, 0.212, 0.573]]
}